Entry 1:
A plane-wave DFT calculation with PBE was carried out for a relaxed structure of TlB4Pt.

As for the energy above the most stable polymorph in this dataset: 0 meV per atom.

It has space group P6/mmm (No. 191), with a = 3.0792 Å, b = 3.0792 Å, c = 8.9226 Å, α = 90.00°, β = 90.00° and γ = 120.00°. The inequivalent atoms are Tl at (0.0000, 0.0000, 0.0000), B at (0.3333, 0.6667, 0.3079) and Pt at (0.0000, 0.0000, 0.5000).

=====

Entry 2:
A plane-wave DFT calculation with PBE was carried out for a relaxed structure of TlB4Pt.

As for the energy above the most stable polymorph in this dataset: 142 meV per atom.

It has space group Immm (No. 71), with a = 2.7146 Å, b = 5.6376 Å, c = 9.1420 Å, α = 90.00°, β = 90.00° and γ = 90.00°. The inequivalent atoms are Tl at (0.0000, 0.0000, 0.0000), B at (0.0000, 0.3518, 0.2288) and Pt at (0.0000, 0.0000, 0.5000).

=====

Entry 3:
A plane-wave DFT calculation with PBE was carried out for a relaxed structure of TmBPt2.

Its total energy is -6.84 eV/atom.

It has space group P6_222 (No. 180), with a = 5.3064 Å, b = 5.3064 Å, c = 7.9406 Å, α = 90.00°, β = 90.00° and γ = 120.00°. The inequivalent atoms are Tm at (0.0000, 0.5000, 0.1667), B at (0.0000, 0.5000, 0.6667) and Pt at (0.1514, 0.3028, 0.5000).

=====

Entry 4:
A plane-wave DFT calculation with PBE was carried out for a relaxed structure of TmB4Pt.

As for the energy above the most stable polymorph in this dataset: 29 meV per atom.

It has space group P6/mmm (No. 191), with a = 3.2313 Å, b = 3.2313 Å, c = 6.7693 Å, α = 90.00°, β = 90.00° and γ = 120.00°. The inequivalent atoms are Tm at (0.0000, 0.0000, 0.0000), B at (0.3333, 0.6667, 0.2659) and Pt at (0.0000, 0.0000, 0.5000).

=====

Entry 5:
A plane-wave DFT calculation with PBE was carried out for a relaxed structure of TmB4Pt.

As for the energy above the most stable polymorph in this dataset: 0 meV per atom.

It has space group Immm (No. 71), with a = 3.1588 Å, b = 5.2506 Å, c = 7.6119 Å, α = 90.00°, β = 90.00° and γ = 90.00°. The inequivalent atoms are Tm at (0.0000, 0.0000, 0.0000), B at (0.0000, 0.3221, 0.2625) and Pt at (0.0000, 0.0000, 0.5000).

=====

Entry 6:
A plane-wave DFT calculation with PBE was carried out for a relaxed structure of UBPt.

As for the energy above the most stable polymorph in this dataset: 0 meV per atom.

It has space group F-43m (No. 216), with a = 5.8631 Å, b = 5.8631 Å, c = 5.8631 Å, α = 90.00°, β = 90.00° and γ = 90.00°. The inequivalent atoms are U at (0.0000, 0.0000, 0.0000), B at (0.2500, 0.2500, 0.7500) and Pt at (0.0000, 0.0000, 0.5000).

=====

Entry 7:
A plane-wave DFT calculation with PBE was carried out for a relaxed structure of UBPt.

As for the energy above the most stable polymorph in this dataset: 557 meV per atom.

It has space group F-43m (No. 216), with a = 6.1587 Å, b = 6.1587 Å, c = 6.1587 Å, α = 90.00°, β = 90.00° and γ = 90.00°. The inequivalent atoms are U at (0.0000, 0.0000, 0.0000), B at (0.0000, 0.0000, 0.5000) and Pt at (0.2500, 0.2500, 0.7500).

=====

Entry 8:
A plane-wave DFT calculation with PBE was carried out for a relaxed structure of UBPt.

As for the energy above the most stable polymorph in this dataset: 808 meV per atom.

It has space group F-43m (No. 216), with a = 6.2144 Å, b = 6.2144 Å, c = 6.2144 Å, α = 90.00°, β = 90.00° and γ = 90.00°. The inequivalent atoms are U at (0.0000, 0.0000, 0.0000), B at (0.2500, 0.2500, 0.7500) and Pt at (0.2500, 0.2500, 0.2500).

=====

Entry 9:
A plane-wave DFT calculation with PBE was carried out for a relaxed structure of BPt2W.

Its total energy is -7.47 eV/atom.

It has space group F-43m (No. 216), with a = 6.0604 Å, b = 6.0604 Å, c = 6.0604 Å, α = 90.00°, β = 90.00° and γ = 90.00°. The inequivalent atoms are B at (0.0000, 0.0000, 0.0000), Pt at (0.0000, 0.0000, 0.5000), Pt at (0.2500, 0.2500, 0.7500) and W at (0.2500, 0.2500, 0.2500).

=====

Entry 10:
A plane-wave DFT calculation with PBE was carried out for a relaxed structure of BPtW2.

Its total energy is -8.88 eV/atom.

It has space group F-43m (No. 216), with a = 6.1066 Å, b = 6.1066 Å, c = 6.1066 Å, α = 90.00°, β = 90.00° and γ = 90.00°. The inequivalent atoms are B at (0.0000, 0.0000, 0.0000), Pt at (0.2500, 0.2500, 0.2500), W at (0.0000, 0.0000, 0.5000) and W at (0.2500, 0.2500, 0.7500).

=====

Entry 11:
A plane-wave DFT calculation with PBE was carried out for a relaxed structure of YB2Pt.

Its total energy is -5.74 eV/atom.

It has space group F-43m (No. 216), with a = 6.1933 Å, b = 6.1933 Å, c = 6.1933 Å, α = 90.00°, β = 90.00° and γ = 90.00°. The inequivalent atoms are Y at (0.0000, 0.0000, 0.0000), B at (0.0000, 0.0000, 0.5000), B at (0.2500, 0.2500, 0.2500) and Pt at (0.2500, 0.2500, 0.7500).

=====

Entry 12:
A plane-wave DFT calculation with PBE was carried out for a relaxed structure of YBPt2.

Its total energy is -6.32 eV/atom.

It has space group F-43m (No. 216), with a = 6.4339 Å, b = 6.4339 Å, c = 6.4339 Å, α = 90.00°, β = 90.00° and γ = 90.00°. The inequivalent atoms are Y at (0.0000, 0.0000, 0.0000), B at (0.2500, 0.2500, 0.7500), Pt at (0.0000, 0.0000, 0.5000) and Pt at (0.2500, 0.2500, 0.2500).